No. 1
# Re3GeRu PBE optimized geometry
# Distance to the lowest polymorph of the same formula in eV/atom: 0.264
# ΔE_f in eV per atom: 2.1985
# Spin magnetization in μB per formula unit: 1.42
data_Re3GeRu
_chemical_formula_sum 'Re3 Ge1 Ru1'
_cell_length_a 4.686
_cell_length_b 4.686
_cell_length_c 4.686
_cell_angle_alpha 90.00
_cell_angle_beta 90.00
_cell_angle_gamma 90.00
_symmetry_space_group_name_H-M 'P m -3 m'
_symmetry_Int_Tables_number 221
_symmetry_space_group_name_Hall '-P 4 2 3'
loop_
_atom_site_label
_atom_site_type_symbol
_atom_site_fract_x
_atom_site_fract_y
_atom_site_fract_z
_atom_site_occupancy
Re1 Re 0.000 0.000 0.500 1
Ge1 Ge 0.500 0.500 0.500 1
Ru1 Ru 0.000 0.000 0.000 1



No. 2
# CePmNdTh PBE optimized geometry
# Distance to the lowest polymorph of the same formula in eV/atom: 0.199
# ΔE_f in eV per atom: 0.2389
# Spin magnetization in μB per formula unit: 1.82
data_CePmNdTh
_chemical_formula_sum 'Ce4 Pm4 Nd4 Th4'
_cell_length_a 8.077
_cell_length_b 8.077
_cell_length_c 8.077
_cell_angle_alpha 90.00
_cell_angle_beta 90.00
_cell_angle_gamma 90.00
_symmetry_space_group_name_H-M 'F -4 3 m'
_symmetry_Int_Tables_number 216
_symmetry_space_group_name_Hall 'F -4 2 3'
loop_
_atom_site_label
_atom_site_type_symbol
_atom_site_fract_x
_atom_site_fract_y
_atom_site_fract_z
_atom_site_occupancy
Ce1 Ce 0.000 0.000 0.000 1
Pm1 Pm 0.000 0.000 0.500 1
Nd1 Nd 0.250 0.250 0.750 1
Th1 Th 0.250 0.250 0.250 1



No. 3
# NaU3O8 PBE optimized geometry
# Final energy in eV per cell: -111.4
# Spin magnetization in μB per formula unit: 3.00
data_NaU3O8
_chemical_formula_sum 'Na1 U3 O8'
_cell_length_a 6.9228
_cell_length_b 6.9228
_cell_length_c 4.2312
_cell_angle_alpha 90.00
_cell_angle_beta 90.00
_cell_angle_gamma 120.00
_symmetry_space_group_name_H-M 'P -6 2 m'
_symmetry_Int_Tables_number 189
_symmetry_space_group_name_Hall 'P -6 -2'
loop_
_atom_site_label
_atom_site_type_symbol
_atom_site_fract_x
_atom_site_fract_y
_atom_site_fract_z
_atom_site_occupancy
Na1 Na 0.0000 0.0000 0.0000 1
U1 U 0.0000 0.3609 0.5000 1
O1 O 0.0000 0.3468 0.0000 1
O2 O 0.0000 0.7609 0.5000 1
O3 O 0.3333 0.6667 0.5000 1